A relaxed structure of LiAlOs2. Source: the Alexandria database, functional PBE-GGA.

Properties
Space-group type   No. 35
E_form   0.253 eV per atom
Crystal system   orthorhombic

extended XYZ file:
```
4
Lattice="2.7015 0.0015 0.0000 -1.2251 2.4077 0.0000 0.0000 0.0000 9.0298" Properties=species:S:1:pos:R:3 pbc="T T T"
Al 0.0000 0.0000 4.4640
Li 0.7382 1.2046 6.7790
Os 0.0000 0.0000 0.0350
Os 0.7382 1.2046 2.2667
```